Compound: K2RhPb
Source: Alexandria via LeMat-Bulk
Functional: PBE
Structure: relaxed

The structure belongs to space group Cm (No. 8); the cell edges are 8.0504, 4.6270 and 9.2097 Å and the angles 90.00°, 106.29° and 90.00°. The asymmetric unit holds K at (0.0000, 0.0000, 0.0000), K at (0.1740, 0.0000, 0.5430), Rh at (0.4212, 0.0000, 0.2707) and Pb at (0.2543, 0.5000, 0.2717).

The total energy comes out at -3.274 eV/atom. For the magnetic moment, the calculation gives 0.000 μB/atom. As for the formation energy: 40 meV per atom. The calculation puts the density of states at the Fermi level at 4.0 states/eV/cell.